Here is a relaxed LuTlCdCu crystal from the Alexandria database. Energies are from PBE-GGA.

Its magnetization is 0.00 μB/atom. The calculation puts the volume at 21.30 Å³/atom. As for the total energy: -0.224 Ry/atom.

It has space group F-43m (No. 216), with a = 6.985 Å, b = 6.985 Å, c = 6.985 Å, α = 90.00°, β = 90.00° and γ = 90.00°. Symmetry generates all atoms from Lu at (0.000, 0.000, 0.000), Tl at (0.250, 0.250, 0.750), Cd at (0.000, 0.000, 0.500) and Cu at (0.250, 0.250, 0.250).